A relaxed CeTh2Fe crystal. Source: Alexandria, functional GGA-PBE.

DFT formation energy: -0.051 eV/atom
Energy above the lowest structure with this stoichiometry: 0.0348 eV/atom
Calculated density: 10.708 g/cm3

Unit cell a=3.6140 b=9.6585 c=6.1318 alpha=90.00 beta=106.97 gamma=90.00
Fractional coordinates of all 8 atoms:
Ce 0.0983 0.2500 0.1988
Ce 0.9017 0.7500 0.8012
Th 0.3622 0.0611 0.7236
Th 0.3622 0.4389 0.7236
Th 0.6378 0.5611 0.2764
Th 0.6378 0.9389 0.2764
Fe 0.2271 0.7500 0.4563
Fe 0.7729 0.2500 0.5437